No. 1
# ThSi7Ir3 | Alexandria via LeMat-Bulk | PBE-GGA | relaxed
# - ΔE_f (raw) (eV per atom) = -0.64
# - spin magnetization (μB/cell) = 0.000
data_ThSi7Ir3
_cell_length_a 7.7349
_cell_length_b 7.7349
_cell_length_c 20.2190
_cell_angle_alpha 90.00
_cell_angle_beta 90.00
_cell_angle_gamma 120.00
_space_group_name_H-M_alt 'R -3 c'
_space_group_IT_number 167
_space_group_name_Hall '-R 3 2"c'
loop_
_atom_site_label
_atom_site_type_symbol
_atom_site_fract_x
_atom_site_fract_y
_atom_site_fract_z
_atom_site_occupancy
Th1 Th 0.0000 0.0000 0.0000 1
Si1 Si 0.0000 0.0000 0.2500 1
Si2 Si 0.0107 0.2033 0.1365 1
Ir1 Ir 0.0000 0.3167 0.2500 1

***

No. 2
# GdAl4Mo | Alexandria via LeMat-Bulk | PBE-GGA | relaxed
# - calculated formation energy (kJ/mol of formula units) = -129.1
# - spin magnetization (μB/cell) = 28.619
data_GdAl4Mo
_cell_length_a 7.4885
_cell_length_b 7.4885
_cell_length_c 7.4885
_cell_angle_alpha 90.00
_cell_angle_beta 90.00
_cell_angle_gamma 90.00
_space_group_name_H-M_alt 'F -4 3 m'
_space_group_IT_number 216
_space_group_name_Hall 'F -4 2 3'
loop_
_atom_site_label
_atom_site_type_symbol
_atom_site_fract_x
_atom_site_fract_y
_atom_site_fract_z
_atom_site_occupancy
Gd1 Gd 0.0000 0.0000 0.0000 1
Al1 Al 0.1248 0.1248 0.6248 1
Mo1 Mo 0.2500 0.2500 0.2500 1

***

The evaluated total DFT energy (no corrections) for the records listed, in turn: -0.26404 -0.25247 hartree per atom.
The evaluated density of states at the Fermi level for the records listed, in turn: 31.453 8.346 states/eV per cell.